1.
UPaSnSb: optimized geometry, PBE.

Cell lengths 5.292, 5.292, 5.292 Å; angles 60.00, 60.00, 60.00 degrees
Positions (direct):
Sb 0.750 0.750 0.750
Pa 0.000 0.000 0.000
U 0.500 0.500 0.500
Sn 0.250 0.250 0.250

Output
**Final energy**: -29.3 eV/cell
**Volume**: 26.193 Å³/atom
**Raw formation energy**: -0.106 eV per atom
**DOS at the Fermi energy**: 2.55 states/eV per atom

---

2.
TlSeI: optimized geometry, PBE.

Cell lengths 4.757, 6.891, 9.281 Å; angles 126.99, 104.80, 90.16 degrees
Positions (direct):
Tl 0.598 0.141 0.963
Tl 0.280 0.963 0.326
Se 0.927 0.194 0.620
Se 0.950 0.910 0.669
I 0.271 0.452 0.309
I 0.607 0.652 0.980

Output
**Final energy**: -16.5 eV/cell
**Volume**: 38.345 Å³/atom
**Excess energy over the best structure of this formula in the dataset**: 0.000 eV/atom
**Raw formation energy**: -0.276 eV per atom
**DOS at the Fermi energy**: 0.43 states/eV per atom

---

3.
TbPaNi2: optimized geometry, PBE.

Cell lengths 3.417, 3.417, 6.758 Å; angles 90.00, 90.00, 90.00 degrees
Positions (direct):
Ni 0.000 0.000 0.703
Ni 0.000 0.000 0.297
Pa 0.500 0.500 0.500
Tb 0.500 0.500 0.000

Output
**Final energy**: -26.9 eV/cell
**Volume**: 19.723 Å³/atom
**Excess energy over the best structure of this formula in the dataset**: 0.053 eV/atom
**DOS at the Fermi energy**: 1.12 states/eV per atom

---

4.
ReGeAu3: optimized geometry, PBE.

Cell lengths 4.831, 4.831, 4.831 Å; angles 90.00, 90.00, 90.00 degrees
Positions (direct):
Re 0.500 0.500 0.500
Ge 0.000 0.000 0.000
Au 0.000 0.500 0.000
Au 0.000 0.000 0.500
Au 0.500 0.000 0.000

Output
**Final energy**: -20.2 eV/cell
**Volume**: 22.545 Å³/atom
**Excess energy over the best structure of this formula in the dataset**: 0.023 eV/atom
**DOS at the Fermi energy**: 0.75 states/eV per atom

---

5.
NiTeOs3: optimized geometry, PBE.

Cell lengths 4.488, 4.488, 4.488 Å; angles 90.00, 90.00, 90.00 degrees
Positions (direct):
Ni 0.000 0.000 0.000
Te 0.500 0.500 0.500
Os 0.000 0.500 0.000
Os 0.000 0.000 0.500
Os 0.500 0.000 0.000

Output
**Final energy**: -33.3 eV/cell
**Volume**: 18.078 Å³/atom
**Excess energy over the best structure of this formula in the dataset**: 0.000 eV/atom
**Raw formation energy**: 1.870 eV per atom
**DOS at the Fermi energy**: 1.72 states/eV per atom

---

6.
Co3MoI: optimized geometry, PBE.

Cell lengths 4.543, 4.543, 4.543 Å; angles 90.00, 90.00, 90.00 degrees
Positions (direct):
I 0.000 0.000 0.000
Mo 0.500 0.500 0.500
Co 0.000 0.500 0.000
Co 0.000 0.000 0.500
Co 0.500 0.000 0.000

Output
**Final energy**: -24.7 eV/cell
**Volume**: 18.749 Å³/atom
**Excess energy over the best structure of this formula in the dataset**: 0.278 eV/atom
**Raw formation energy**: 1.802 eV per atom
**DOS at the Fermi energy**: 2.13 states/eV per atom

---

7.
TaIn2Cl: optimized geometry, PBE.

Cell lengths 6.069, 6.069, 6.069 Å; angles 140.15, 140.15, 57.63 degrees
Positions (direct):
Cl 0.750 0.250 0.500
In 0.000 0.000 0.000
In 0.250 0.750 0.500
Ta 0.500 0.500 0.000

Output
**Final energy**: -17.0 eV/cell
**Volume**: 22.742 Å³/atom
**Excess energy over the best structure of this formula in the dataset**: 0.782 eV/atom
**Raw formation energy**: 0.555 eV per atom
**DOS at the Fermi energy**: 0.77 states/eV per atom

---

8.
LiNiIr2: optimized geometry, PBE.

Cell lengths 4.203, 4.203, 4.203 Å; angles 60.00, 60.00, 60.00 degrees
Positions (direct):
Ir 0.000 0.000 0.000
Ir 0.750 0.750 0.750
Li 0.500 0.500 0.500
Ni 0.250 0.250 0.250

Output
**Final energy**: -25.1 eV/cell
**Volume**: 13.128 Å³/atom
**Excess energy over the best structure of this formula in the dataset**: 0.154 eV/atom
**DOS at the Fermi energy**: 1.30 states/eV per atom